A relaxed CdCoF crystal. Source: Alexandria via LeMat-Bulk, functional PBE with a Hubbard U.

Results
Theoretical density, kg/m³: 6403
N(E_F), states/eV/f.u.: 0.57
Offset from the most stable computed form, kJ/mol of atoms: 4.75
Uncorrected energy, eV per atom: -3.314
SG: Cm, No. 8

Cell lengths 7.3258, 7.3258, 4.8525 Å; angles 105.67, 105.67, 23.23 degrees
Fractional coordinates of all 6 atoms:
Cd (0.0000, 0.0000, 0.0000)
Cd (0.1840, 0.1840, 0.7482)
Co (0.3105, 0.3105, 0.3516)
Co (0.6656, 0.6656, 0.2475)
F (0.3691, 0.3691, 0.0225)
F (0.4443, 0.4443, 0.5925)